[1]
Computed, not measured: crystalline Y2FeCl at its relaxed geometry at the GGA-PBE level of DFT.

Cell: 3.9073 3.9073 11.9506 Å, 90.00 90.00 90.00°
Sites, in units of the cell vectors:
Y: 0.0000 0.0000 0.0000
Y: 0.0000 0.5000 0.2500
Y: 0.5000 0.0000 0.7500
Y: 0.5000 0.5000 0.5000
Fe: 0.0000 0.0000 0.5000
Fe: 0.5000 0.5000 0.0000
Cl: 0.0000 0.5000 0.7500
Cl: 0.5000 0.0000 0.2500

Results
ΔE_f (raw) = -0.1283 eV/atom

***

[2]
Computed, not measured: crystalline BaNaRhN at its relaxed geometry at the GGA-PBE level of DFT.

Cell: 3.5016 4.3713 11.4832 Å, 90.00 90.00 90.00°
Sites, in units of the cell vectors:
Ba: 0.0000 0.0000 0.0000
Ba: 0.0000 0.5000 0.5000
Na: 0.5000 0.0000 0.2669
Na: 0.5000 0.5000 0.7669
Rh: 0.0000 0.0000 0.6929
Rh: 0.0000 0.5000 0.1929
N: 0.5000 0.0000 0.6082
N: 0.5000 0.5000 0.1082

Results
ΔE_f (raw) = -0.0014 eV/atom

***

[3]
Computed, not measured: crystalline PrCo2GeC at its relaxed geometry at the GGA-PBE level of DFT.

Cell: 5.7230 5.7230 6.9389 Å, 90.00 90.00 139.74°
Sites, in units of the cell vectors:
Pr: 0.0553 0.9447 0.7500
Pr: 0.9447 0.0553 0.2500
Co: 0.3401 0.6599 0.5576
Co: 0.3401 0.6599 0.9424
Co: 0.6599 0.3401 0.0576
Co: 0.6599 0.3401 0.4424
Ge: 0.2256 0.7744 0.2500
Ge: 0.7744 0.2256 0.7500
C: 0.5000 0.5000 0.0000
C: 0.5000 0.5000 0.5000

Results
ΔE_f = -0.3886 eV/atom

***

[4]
Computed, not measured: crystalline Hg2TeBr2 at its relaxed geometry at the GGA-PBE level of DFT.

Cell: 8.2262 8.2262 8.2262 Å, 120.97 120.97 88.33°
Sites, in units of the cell vectors:
Hg: 0.2271 0.0000 0.2271
Hg: 0.7500 0.0229 0.2729
Hg: 0.7500 0.4771 0.7271
Hg: 0.7729 0.0000 0.7729
Te: 0.1643 0.1643 0.0000
Te: 0.9143 0.4143 0.5000
Br: 0.0213 0.7739 0.2475
Br: 0.5239 0.2713 0.7475
Br: 0.5239 0.7764 0.2525
Br: 0.5264 0.7739 0.7525

Results
ΔE_f (raw) = -0.2792 eV/atom

***

[5]
Computed, not measured: crystalline BaTmF5 at its relaxed geometry at the GGA-PBE level of DFT.

Cell: 8.4054 8.4054 5.8941 Å, 90.71 90.71 149.38°
Sites, in units of the cell vectors:
Ba: 0.1715 0.8285 0.7500
Ba: 0.8285 0.1715 0.2500
Tm: 0.4271 0.5729 0.7500
Tm: 0.5729 0.4271 0.2500
F: 0.1144 0.8856 0.2500
F: 0.2440 0.3111 0.4080
F: 0.3061 0.6692 0.9847
F: 0.3111 0.2440 0.9080
F: 0.3308 0.6939 0.5153
F: 0.6692 0.3061 0.4847
F: 0.6889 0.7560 0.0920
F: 0.6939 0.3308 0.0153
F: 0.7560 0.6889 0.5920
F: 0.8856 0.1144 0.7500

Results
ΔE_f (raw) = -4.0747 eV/atom

***

[6]
Computed, not measured: crystalline Ga3CuCl at its relaxed geometry at the GGA-PBE level of DFT.

Cell: 5.3115 5.3115 5.3115 Å, 90.00 90.00 90.00°
Sites, in units of the cell vectors:
Ga: 0.0000 0.0000 0.5000
Ga: 0.0000 0.5000 0.0000
Ga: 0.5000 0.0000 0.0000
Cu: 0.5000 0.5000 0.5000
Cl: 0.0000 0.0000 0.0000

Results
ΔE_f (raw) = 0.5578 eV/atom

***

[7]
Computed, not measured: crystalline Zr5ScIn3 at its relaxed geometry at the GGA-PBE level of DFT.

Cell: 8.7855 8.7855 6.0906 Å, 90.00 90.00 120.00°
Sites, in units of the cell vectors:
Zr: 0.0000 0.3443 0.2500
Zr: 0.0000 0.6557 0.7500
Zr: 0.3333 0.6667 0.0000
Zr: 0.3333 0.6667 0.5000
Zr: 0.3443 0.0000 0.2500
Zr: 0.3443 0.3443 0.7500
Zr: 0.6557 0.0000 0.7500
Zr: 0.6557 0.6557 0.2500
Zr: 0.6667 0.3333 0.0000
Zr: 0.6667 0.3333 0.5000
Sc: 0.0000 0.0000 0.0000
Sc: 0.0000 0.0000 0.5000
In: 0.0000 0.3241 0.7500
In: 0.0000 0.6759 0.2500
In: 0.3241 0.0000 0.7500
In: 0.3241 0.3241 0.2500
In: 0.6759 0.0000 0.2500
In: 0.6759 0.6759 0.7500

Results
ΔE_f = -0.2544 eV/atom

***

[8]
Computed, not measured: crystalline AgMoP3 at its relaxed geometry at the GGA-PBE level of DFT.

Cell: 4.7044 4.7044 4.7044 Å, 90.00 90.00 90.00°
Sites, in units of the cell vectors:
Ag: 0.0000 0.0000 0.0000
Mo: 0.5000 0.5000 0.5000
P: 0.0000 0.5000 0.5000
P: 0.5000 0.0000 0.5000
P: 0.5000 0.5000 0.0000

Results
ΔE_f = 0.5780 eV/atom

***

[9]
Computed, not measured: crystalline HfZrZnGa at its relaxed geometry at the GGA-PBE level of DFT.

Cell: 6.6736 6.6736 6.6736 Å, 90.00 90.00 90.00°
Sites, in units of the cell vectors:
Hf: 0.0000 0.0000 0.0000
Hf: 0.0000 0.5000 0.5000
Hf: 0.5000 0.0000 0.5000
Hf: 0.5000 0.5000 0.0000
Zr: 0.0000 0.0000 0.5000
Zr: 0.0000 0.5000 0.0000
Zr: 0.5000 0.0000 0.0000
Zr: 0.5000 0.5000 0.5000
Zn: 0.2500 0.2500 0.7500
Zn: 0.2500 0.7500 0.2500
Zn: 0.7500 0.2500 0.2500
Zn: 0.7500 0.7500 0.7500
Ga: 0.2500 0.2500 0.2500
Ga: 0.2500 0.7500 0.7500
Ga: 0.7500 0.2500 0.7500
Ga: 0.7500 0.7500 0.2500

Results
ΔE_f = -0.2958 eV/atom

***

[10]
Computed, not measured: crystalline Y8Ho5Pu at its relaxed geometry at the GGA-PBE level of DFT.

Cell: 8.4096 8.4096 8.4096 Å, 106.78 106.78 115.01°
Sites, in units of the cell vectors:
Y: 0.0243 0.1599 0.8111
Y: 0.2850 0.3843 0.5924
Y: 0.3075 0.7150 0.0993
Y: 0.3488 0.2132 0.1889
Y: 0.6157 0.2081 0.9007
Y: 0.7868 0.9757 0.1356
Y: 0.7919 0.6925 0.4076
Y: 0.8401 0.6512 0.8644
Ho: 0.0488 0.4645 0.2710
Ho: 0.1935 0.7777 0.7290
Ho: 0.2223 0.9512 0.4157
Ho: 0.5355 0.8065 0.5843
Ho: 0.7500 0.2500 0.5000
Pu: 0.5000 0.5000 0.0000

Results
ΔE_f = 0.2914 eV/atom

***

[11]
Computed, not measured: crystalline Nd4Y2Ge3O2 at its relaxed geometry at the GGA-PBE level of DFT.

Cell: 12.5203 12.5203 12.5203 Å, 158.34 158.34 30.83°
Sites, in units of the cell vectors:
Nd: 0.0817 0.5817 0.5000
Nd: 0.4183 0.9183 0.5000
Nd: 0.5817 0.0817 0.5000
Nd: 0.9183 0.4183 0.5000
Y: 0.2001 0.2001 0.0000
Y: 0.7999 0.7999 0.0000
Ge: 0.3223 0.3223 0.0000
Ge: 0.5000 0.5000 0.0000
Ge: 0.6777 0.6777 0.0000
O: 0.1067 0.1067 0.0000
O: 0.8933 0.8933 0.0000

Results
ΔE_f (raw) = -1.4794 eV/atom

***

[12]
Computed, not measured: crystalline AlFeP at its relaxed geometry at the GGA-PBE level of DFT.

Cell: 5.4370 5.4370 5.4370 Å, 90.00 90.00 90.00°
Sites, in units of the cell vectors:
Al: 0.0000 0.0000 0.0000
Al: 0.0000 0.5000 0.5000
Al: 0.5000 0.0000 0.5000
Al: 0.5000 0.5000 0.0000
Fe: 0.2500 0.2500 0.2500
Fe: 0.2500 0.7500 0.7500
Fe: 0.7500 0.2500 0.7500
Fe: 0.7500 0.7500 0.2500
P: 0.0000 0.0000 0.5000
P: 0.0000 0.5000 0.0000
P: 0.5000 0.0000 0.0000
P: 0.5000 0.5000 0.5000

Results
ΔE_f = -0.2408 eV/atom

***

Question: Which formula does entry 4 have?
Answer: Hg2TeBr2